Below is a relaxed TmFeCoGe3 crystal, with properties calculated at the GGA-PBE level.

The structure in POSCAR format:
```
TmFeCoGe3
1.0
3.092 -6.050 0.000
3.092 6.050 0.000
0.000 0.000 5.846
Tm Fe Co Ge
2 2 2 6
Cartesian
3.092 3.602 4.385
3.092 -3.602 1.462
3.092 5.705 1.462
3.092 -5.705 4.385
3.092 1.289 1.462
3.092 -1.289 4.385
3.092 3.464 1.462
1.786 0.000 0.000
1.786 0.000 2.923
4.398 0.000 0.000
4.398 0.000 2.923
3.092 -3.464 4.385
```

Values from the calculation:
For the calculated volume, the calculation gives 18.22 Å³/atom. The density of states at the Fermi level comes out at 7.81 states/eV/cell. As for the energy relative to the elements: -0.137 eV/atom.